Material: Pr3Sm3Te2Pd
Method: DFT, GGA-PBE
State: relaxed

E above lowest polymorph = 0.0 meV per atom
E_tot = -0.1941 hartree per atom
M_tot = 0.00 μB/atom

The structure in CIF format:
```
data_Pr3Sm3Te2Pd
_chemical_formula_sum 'Pr3 Sm3 Te2 Pd1'
_cell_length_a 8.6856
_cell_length_b 8.6856
_cell_length_c 4.0751
_cell_angle_alpha 90.00
_cell_angle_beta 90.00
_cell_angle_gamma 120.00
_space_group_name_H-M_alt 'P -6 2 m'
_space_group_IT_number 189
_space_group_name_Hall 'P -6 -2'
loop_
_atom_site_label
_atom_site_type_symbol
_atom_site_fract_x
_atom_site_fract_y
_atom_site_fract_z
Pr1 Pr 0.0000 0.4115 0.0000
Sm1 Sm 0.0000 0.7550 0.5000
Te1 Te 0.3333 0.6667 0.5000
Pd1 Pd 0.0000 0.0000 0.0000
```



Material: NaZrCuS3
Method: DFT, GGA-PBE
State: relaxed

E_tot = -0.2029 hartree per atom
M_tot = 0.00 μB/atom

The structure in CIF format:
```
data_NaZrCuS3
_chemical_formula_sum 'Na4 Zr4 Cu4 S12'
_cell_length_a 3.707
_cell_length_b 13.029
_cell_length_c 9.760
_cell_angle_alpha 90.00
_cell_angle_beta 90.00
_cell_angle_gamma 90.00
_space_group_name_H-M_alt 'C m c m'
_space_group_IT_number 63
_space_group_name_Hall '-C 2c 2'
loop_
_atom_site_label
_atom_site_type_symbol
_atom_site_fract_x
_atom_site_fract_y
_atom_site_fract_z
Na1 Na 0.000 0.249 0.250
Zr1 Zr 0.000 0.500 0.000
Cu1 Cu 0.000 0.032 0.750
S1 S 0.000 0.132 0.559
S2 S 0.000 0.423 0.750
```



Material: Be3TcCl
Method: DFT, GGA-PBE
State: relaxed

E_tot = -0.1567 hartree per atom
M_tot = 0.00 μB/atom

The structure in CIF format:
```
data_Be3TcCl
_chemical_formula_sum 'Be6 Tc2 Cl2'
_cell_length_a 6.8029
_cell_length_b 6.8029
_cell_length_c 5.2731
_cell_angle_alpha 90.00
_cell_angle_beta 90.00
_cell_angle_gamma 120.00
_space_group_name_H-M_alt 'P 63/m m c'
_space_group_IT_number 194
_space_group_name_Hall '-P 6c 2c'
loop_
_atom_site_label
_atom_site_type_symbol
_atom_site_fract_x
_atom_site_fract_y
_atom_site_fract_z
Be1 Be 0.1551 0.3102 0.2500
Tc1 Tc 0.0000 0.0000 0.0000
Cl1 Cl 0.3333 0.6667 0.2500
```



Material: CuTe2Pb2F2
Method: DFT, GGA-PBE
State: relaxed

E_tot = -0.1500 hartree per atom

The structure in CIF format:
```
data_CuTe2Pb2F2
_chemical_formula_sum 'Cu1 Te2 Pb2 F2'
_cell_length_a 4.107
_cell_length_b 4.107
_cell_length_c 9.459
_cell_angle_alpha 90.00
_cell_angle_beta 90.00
_cell_angle_gamma 90.00
_space_group_name_H-M_alt 'P -4 m 2'
_space_group_IT_number 115
loop_
_space_group_symop_operation_xyz
'x,y,z'
'y,-x,-z'
'-x,-y,z'
'-y,x,-z'
'-x,y,z'
'-y,-x,-z'
'x,-y,z'
'y,x,-z'
loop_
_atom_site_label
_atom_site_type_symbol
_atom_site_fract_x
_atom_site_fract_y
_atom_site_fract_z
Cu1 Cu 0.000 0.000 0.000
Te1 Te 0.000 0.500 0.162
Pb1 Pb 0.000 0.500 0.662
F1 F 0.000 0.000 0.500
F2 F 0.500 0.500 0.500
```



| no. | calculated volume (A^3/atom) |
| --- | --- |
| 1 | 29.6 |
| 2 | 19.6 |
| 3 | 21.1 |
| 4 | 22.8 |